1.
{
  "formula": "LiB4Ir",
  "functional": "PBE-GGA",
  "state": "relaxed",
  "cell": [[2.996, 0.000, 0.000], [-1.498, 2.595, 0.000], [0.000, 0.000, 6.966]],
  "species": ["Li", "B", "B", "B", "B", "Ir"],
  "frac_coords": [[0.000, 0.000, 0.000], [0.333, 0.667, 0.256], [0.333, 0.667, 0.744], [0.667, 0.333, 0.256], [0.667, 0.333, 0.744], [0.000, 0.000, 0.500]],
  "space_group": "P6/mmm (191)",
  "de_polymorph_kcal_per_mol_atoms": 6.35
}



2.
{
  "formula": "KNdPu",
  "functional": "PBE-GGA",
  "state": "relaxed",
  "cell": [[0.000, 4.172, 4.172], [4.172, 0.000, 4.172], [4.172, 4.172, 0.000]],
  "species": ["K", "Nd", "Pu"],
  "frac_coords": [[0.000, 0.000, 0.000], [0.500, 0.500, 0.500], [0.250, 0.250, 0.250]],
  "energy_ev_per_atom": -5.489,
  "space_group": "F-43m (216)"
}



3.
{
  "formula": "PmMgTl",
  "functional": "PBE-GGA",
  "state": "relaxed",
  "cell": [[4.600, 0.000, 0.000], [0.000, 4.600, 0.000], [0.000, 0.000, 7.744]],
  "species": ["Pm", "Pm", "Mg", "Mg", "Tl", "Tl"],
  "frac_coords": [[0.250, 0.250, 0.164], [0.750, 0.750, 0.836], [0.250, 0.750, 0.500], [0.750, 0.250, 0.500], [0.250, 0.250, 0.752], [0.750, 0.750, 0.248]],
  "space_group": "P4/nmm (129)",
  "de_polymorph_kcal_per_mol_atoms": 0.00
}



4.
{
  "formula": "CoB2Os",
  "functional": "PBE-GGA",
  "state": "relaxed",
  "cell": [[0.000, 2.696, 2.696], [2.696, 0.000, 2.696], [2.696, 2.696, 0.000]],
  "species": ["Co", "B", "B", "Os"],
  "frac_coords": [[0.000, 0.000, 0.000], [0.250, 0.250, 0.250], [0.500, 0.500, 0.500], [0.750, 0.750, 0.750]],
  "energy_ev_per_atom": -6.941,
  "space_group": "F-43m (216)"
}



5.
{
  "formula": "IrPdNO",
  "functional": "PBE-GGA",
  "state": "relaxed",
  "cell": [[4.091, 0.000, 0.000], [0.000, 4.091, 0.000], [0.000, 0.000, 5.302]],
  "species": ["Ir", "Ir", "Pd", "Pd", "N", "N", "O", "O"],
  "frac_coords": [[0.250, 0.250, 0.081], [0.750, 0.750, 0.919], [0.250, 0.750, 0.500], [0.750, 0.250, 0.500], [0.250, 0.250, 0.712], [0.750, 0.750, 0.288], [0.250, 0.750, 0.000], [0.750, 0.250, 0.000]],
  "space_group": "P4/nmm (129)",
  "de_polymorph_kcal_per_mol_atoms": 10.78
}



6.
{
  "formula": "Er4Mg3Ni2",
  "functional": "PBE-GGA",
  "state": "relaxed",
  "cell": [[7.399, 0.000, 0.000], [0.000, 3.614, 0.000], [-2.542, 0.000, 7.840]],
  "species": ["Er", "Er", "Er", "Er", "Mg", "Mg", "Mg", "Ni", "Ni"],
  "frac_coords": [[0.087, 0.000, 0.221], [0.393, 0.000, 0.671], [0.607, 0.000, 0.329], [0.913, 0.000, 0.779], [0.000, 0.500, 0.500], [0.295, 0.500, 0.001], [0.705, 0.500, 0.999], [0.342, 0.500, 0.389], [0.658, 0.500, 0.611]],
  "energy_ev_per_atom": -4.056,
  "space_group": "P2/m (10)"
}



7.
{
  "formula": "Zn2Te",
  "functional": "PBE-GGA",
  "state": "relaxed",
  "cell": [[1.705, -8.950, 0.000], [1.705, 8.950, 0.000], [0.000, 0.000, 4.131]],
  "species": ["Zn", "Zn", "Zn", "Zn", "Te", "Te"],
  "frac_coords": [[0.142, 0.858, 0.750], [0.235, 0.765, 0.250], [0.765, 0.235, 0.750], [0.858, 0.142, 0.250], [0.417, 0.583, 0.750], [0.583, 0.417, 0.250]],
  "space_group": "Cmcm (63)",
  "de_polymorph_kcal_per_mol_atoms": 2.35
}



8.
{
  "formula": "PaAsW",
  "functional": "PBE-GGA",
  "state": "relaxed",
  "cell": [[0.000, 3.215, 3.215], [3.215, 0.000, 3.215], [3.215, 3.215, 0.000]],
  "species": ["Pa", "As", "W"],
  "frac_coords": [[0.000, 0.000, 0.000], [0.500, 0.500, 0.500], [0.250, 0.250, 0.250]],
  "space_group": "F-43m (216)",
  "de_polymorph_kcal_per_mol_atoms": 0.00
}



9.
{
  "formula": "RbLuAsSe3",
  "functional": "PBE-GGA",
  "state": "relaxed",
  "cell": [[2.158, -7.753, 0.000], [2.158, 7.753, 0.000], [0.000, 0.000, 11.406]],
  "species": ["Rb", "Rb", "Lu", "Lu", "As", "As", "Se", "Se", "Se", "Se", "Se", "Se"],
  "frac_coords": [[0.226, 0.774, 0.750], [0.774, 0.226, 0.250], [0.500, 0.500, 0.000], [0.500, 0.500, 0.500], [0.089, 0.911, 0.250], [0.911, 0.089, 0.750], [0.119, 0.881, 0.014], [0.119, 0.881, 0.486], [0.496, 0.504, 0.750], [0.504, 0.496, 0.250], [0.881, 0.119, 0.514], [0.881, 0.119, 0.986]],
  "energy_ev_per_atom": -4.433,
  "space_group": "Cmcm (63)"
}



10.
{
  "formula": "YTeAuO",
  "functional": "PBE-GGA",
  "state": "relaxed",
  "cell": [[5.717, 0.000, 0.000], [0.000, 10.315, 0.000], [0.000, 0.000, 5.729]],
  "species": ["Y", "Y", "Y", "Y", "Te", "Te", "Te", "Te", "Au", "Au", "Au", "Au", "O", "O", "O", "O"],
  "frac_coords": [[0.000, 0.104, 0.250], [0.000, 0.896, 0.750], [0.500, 0.104, 0.750], [0.500, 0.896, 0.250], [0.000, 0.277, 0.750], [0.000, 0.723, 0.250], [0.500, 0.277, 0.250], [0.500, 0.723, 0.750], [0.250, 0.500, 0.245], [0.250, 0.500, 0.745], [0.750, 0.500, 0.255], [0.750, 0.500, 0.755], [0.250, 0.000, 0.000], [0.250, 0.000, 0.500], [0.750, 0.000, 0.000], [0.750, 0.000, 0.500]],
  "space_group": "Pcca (54)",
  "de_polymorph_kcal_per_mol_atoms": 0.01
}



11.
{
  "formula": "SiAgPd",
  "functional": "PBE-GGA",
  "state": "relaxed",
  "cell": [[0.000, 2.943, 2.943], [2.943, 0.000, 2.943], [2.943, 2.943, 0.000]],
  "species": ["Si", "Ag", "Pd"],
  "frac_coords": [[0.000, 0.000, 0.000], [0.750, 0.750, 0.750], [0.250, 0.250, 0.250]],
  "energy_ev_per_atom": -4.617,
  "space_group": "F-43m (216)"
}



12.
{
  "formula": "Ag8Pb",
  "functional": "PBE-GGA",
  "state": "relaxed",
  "cell": [[4.584, -2.000, 0.000], [4.584, 2.000, 0.000], [-0.140, 0.000, 28.993]],
  "species": ["Ag", "Ag", "Ag", "Ag", "Ag", "Ag", "Ag", "Ag", "Ag", "Ag", "Ag", "Ag", "Ag", "Ag", "Ag", "Ag", "Pb", "Pb"],
  "frac_coords": [[0.049, 0.049, 0.212], [0.049, 0.049, 0.887], [0.150, 0.150, 0.984], [0.251, 0.251, 0.082], [0.255, 0.255, 0.755], [0.350, 0.350, 0.180], [0.350, 0.350, 0.853], [0.449, 0.449, 0.951], [0.551, 0.551, 0.049], [0.650, 0.650, 0.147], [0.650, 0.650, 0.820], [0.745, 0.745, 0.245], [0.749, 0.749, 0.918], [0.850, 0.850, 0.016], [0.951, 0.951, 0.113], [0.951, 0.951, 0.788], [0.447, 0.447, 0.286], [0.553, 0.553, 0.714]],
  "energy_ev_per_atom": -2.851,
  "space_group": "C2/m (12)"
}